# 1
VASP calculation (PBE) on a geometry-optimized Li3PrZn3 structure.

CIF file:
```
data_Li3PrZn3
_chemical_formula_sum 'Li6 Pr2 Zn6'
_cell_length_a 6.640
_cell_length_b 6.640
_cell_length_c 6.640
_cell_angle_alpha 90.00
_cell_angle_beta 90.00
_cell_angle_gamma 90.00
_symmetry_space_group_name_H-M 'P m -3 n'
_symmetry_Int_Tables_number 223
_symmetry_space_group_name_Hall '-P 4n 2 3'
loop_
_atom_site_label
_atom_site_type_symbol
_atom_site_fract_x
_atom_site_fract_y
_atom_site_fract_z
Li1 Li 0.000 0.250 0.500
Pr1 Pr 0.000 0.000 0.000
Zn1 Zn 0.000 0.500 0.250
```

Final energy (hartree per atom): -0.0692
Energy relative to the elements (meV per atom): 166

=====

# 2
VASP calculation (PBE) on a geometry-optimized SrAcPtF structure.

CIF file:
```
data_SrAcPtF
_chemical_formula_sum 'Sr2 Ac2 Pt2 F2'
_cell_length_a 5.246
_cell_length_b 5.246
_cell_length_c 8.214
_cell_angle_alpha 90.00
_cell_angle_beta 90.00
_cell_angle_gamma 90.00
_symmetry_space_group_name_H-M 'P 4/n m m'
_symmetry_Int_Tables_number 129
loop_
_symmetry_equiv_pos_as_xyz
'x,y,z'
'-x,-y,-z'
'-y+1/2,x,z'
'y+1/2,-x,-z'
'-x+1/2,-y+1/2,z'
'x+1/2,y+1/2,-z'
'y,-x+1/2,z'
'-y,x+1/2,-z'
'x+1/2,-y,-z'
'-x+1/2,y,z'
'-y,-x,-z'
'y,x,z'
'-x,y+1/2,-z'
'x,-y+1/2,z'
'y+1/2,x+1/2,-z'
'-y+1/2,-x+1/2,z'
loop_
_atom_site_label
_atom_site_type_symbol
_atom_site_fract_x
_atom_site_fract_y
_atom_site_fract_z
Sr1 Sr 0.250 0.250 0.060
Ac1 Ac 0.250 0.750 0.500
Pt1 Pt 0.250 0.250 0.677
F1 F 0.250 0.750 0.000
```

Final energy (hartree per atom): -0.1919
Formation energy without anion corrections (meV per atom): -1797

=====

# 3
VASP calculation (PBE) on a geometry-optimized Mg4NiP structure.

CIF file:
```
data_Mg4NiP
_chemical_formula_sum 'Mg16 Ni4 P4'
_cell_length_a 7.733
_cell_length_b 7.733
_cell_length_c 7.733
_cell_angle_alpha 90.00
_cell_angle_beta 90.00
_cell_angle_gamma 90.00
_symmetry_space_group_name_H-M 'F -4 3 m'
_symmetry_Int_Tables_number 216
_symmetry_space_group_name_Hall 'F -4 2 3'
loop_
_atom_site_label
_atom_site_type_symbol
_atom_site_fract_x
_atom_site_fract_y
_atom_site_fract_z
Mg1 Mg 0.125 0.125 0.125
Ni1 Ni 0.250 0.250 0.750
P1 P 0.000 0.000 0.500
```

Final energy (hartree per atom): -0.0923
Energy relative to the elements (meV per atom): 418

=====

# 4
VASP calculation (PBE) on a geometry-optimized MgTeCl2 structure.

CIF file:
```
data_MgTeCl2
_chemical_formula_sum 'Mg1 Te1 Cl2'
_cell_length_a 3.392
_cell_length_b 4.646
_cell_length_c 5.962
_cell_angle_alpha 90.00
_cell_angle_beta 90.00
_cell_angle_gamma 90.00
_symmetry_space_group_name_H-M 'P m m m'
_symmetry_Int_Tables_number 47
_symmetry_space_group_name_Hall '-P 2 2'
loop_
_atom_site_label
_atom_site_type_symbol
_atom_site_fract_x
_atom_site_fract_y
_atom_site_fract_z
Mg1 Mg 0.000 0.000 0.000
Te1 Te 0.500 0.000 0.500
Cl1 Cl 0.000 0.500 0.500
Cl2 Cl 0.500 0.500 0.000
```

Final energy (hartree per atom): -0.0965
Formation energy without anion corrections (meV per atom): -519

=====

# 5
VASP calculation (PBE) on a geometry-optimized Ac5CoNi2H structure.

CIF file:
```
data_Ac5CoNi2H
_chemical_formula_sum 'Ac20 Co4 Ni8 H4'
_cell_length_a 4.118
_cell_length_b 18.186
_cell_length_c 13.208
_cell_angle_alpha 90.00
_cell_angle_beta 90.00
_cell_angle_gamma 90.00
_symmetry_space_group_name_H-M 'C m c 21'
_symmetry_Int_Tables_number 36
_symmetry_space_group_name_Hall 'C 2c -2'
loop_
_atom_site_label
_atom_site_type_symbol
_atom_site_fract_x
_atom_site_fract_y
_atom_site_fract_z
Ac1 Ac 0.000 0.002 0.000
Ac2 Ac 0.000 0.143 0.257
Ac3 Ac 0.000 0.198 0.602
Ac4 Ac 0.000 0.200 0.908
Ac5 Ac 0.000 0.453 0.248
Co1 Co 0.000 0.299 0.255
Ni1 Ni 0.000 0.379 0.939
Ni2 Ni 0.000 0.380 0.567
H1 H 0.000 0.066 0.655
```

Final energy (hartree per atom): -0.1788

=====

Result set for N(E_F): 0.752, 0.344, 0.539, 0.345, 0.750 states/eV/atom, one per record in the order listed.